A relaxed RbGaSb3 crystal, computed with PBE.

Its formation energy from raw total energies is 1.324 eV per atom. The polymorph energy (0 for the lowest one) is 1.474 eV/atom.

Geometry as CIF:
```
data_RbGaSb3
_cell_length_a 6.075
_cell_length_b 6.075
_cell_length_c 6.075
_cell_angle_alpha 90.00
_cell_angle_beta 90.00
_cell_angle_gamma 90.00
_space_group_name_H-M_alt 'P m -3 m'
_space_group_IT_number 221
_space_group_name_Hall '-P 4 2 3'
loop_
_atom_site_label
_atom_site_fract_x
_atom_site_fract_y
_atom_site_fract_z
_atom_site_occupancy
Rb1 0.000 0.000 0.000 1
Ga1 0.500 0.500 0.500 1
Sb1 0.000 0.000 0.500 1
```

=====

A relaxed RbGaSbSe3 crystal, computed with PBE.

Its formation energy from raw total energies is -0.591 eV per atom.

Geometry as CIF:
```
data_RbGaSbSe3
_cell_length_a 9.212
_cell_length_b 4.611
_cell_length_c 9.973
_cell_angle_alpha 90.00
_cell_angle_beta 103.88
_cell_angle_gamma 90.00
_space_group_name_H-M_alt 'P 1 21/m 1'
_space_group_IT_number 11
loop_
_space_group_symop_operation_xyz
'x,y,z'
'-x,-y,-z'
'-x,y+1/2,-z'
'x,-y+1/2,z'
loop_
_atom_site_label
_atom_site_fract_x
_atom_site_fract_y
_atom_site_fract_z
_atom_site_occupancy
Rb1 0.176 0.250 0.217 1
Ga1 0.108 0.250 0.592 1
Sb1 0.349 0.750 0.862 1
Se1 0.145 0.250 0.848 1
Se2 0.180 0.750 0.516 1
Se3 0.431 0.750 0.132 1
```

=====

A relaxed Rb2GaSbSe5 crystal, computed with PBE.

Its formation energy from raw total energies is -0.629 eV per atom.

Geometry as CIF:
```
data_Rb2GaSbSe5
_cell_length_a 3.780
_cell_length_b 21.312
_cell_length_c 14.736
_cell_angle_alpha 90.00
_cell_angle_beta 90.00
_cell_angle_gamma 90.00
_space_group_name_H-M_alt 'C m c 21'
_space_group_IT_number 36
loop_
_space_group_symop_operation_xyz
'x,y,z'
'-x,-y,z+1/2'
'-x,y,z'
'x,-y,z+1/2'
'x+1/2,y+1/2,z'
'-x+1/2,-y+1/2,z+1/2'
'-x+1/2,y+1/2,z'
'x+1/2,-y+1/2,z+1/2'
loop_
_atom_site_label
_atom_site_fract_x
_atom_site_fract_y
_atom_site_fract_z
_atom_site_occupancy
Rb1 0.000 0.096 0.000 1
Rb2 0.000 0.124 0.627 1
Ga1 0.000 0.427 0.796 1
Sb1 0.000 0.231 0.370 1
Se1 0.000 0.060 0.398 1
Se2 0.000 0.262 0.004 1
Se3 0.000 0.314 0.744 1
Se4 0.000 0.345 0.320 1
Se5 0.000 0.486 0.659 1
```

=====

A relaxed RbGaTcSb2 crystal, computed with PBE.

Its formation energy from raw total energies is 1.216 eV per atom.

Geometry as CIF:
```
data_RbGaTcSb2
_cell_length_a 5.429
_cell_length_b 5.429
_cell_length_c 5.728
_cell_angle_alpha 90.00
_cell_angle_beta 90.00
_cell_angle_gamma 90.00
_space_group_name_H-M_alt 'P 4/m m m'
_space_group_IT_number 123
_space_group_name_Hall '-P 4 2'
loop_
_atom_site_label
_atom_site_fract_x
_atom_site_fract_y
_atom_site_fract_z
_atom_site_occupancy
Rb1 0.000 0.000 0.000 1
Ga1 0.000 0.000 0.500 1
Tc1 0.500 0.500 0.000 1
Sb1 0.000 0.500 0.500 1
```

=====

A relaxed RbGaSb2Te crystal, computed with PBE.

Its formation energy from raw total energies is 1.145 eV per atom. The polymorph energy (0 for the lowest one) is 1.065 eV/atom.

Geometry as CIF:
```
data_RbGaSb2Te
_cell_length_a 6.113
_cell_length_b 6.113
_cell_length_c 6.263
_cell_angle_alpha 90.00
_cell_angle_beta 90.00
_cell_angle_gamma 90.00
_space_group_name_H-M_alt 'P 4/m m m'
_space_group_IT_number 123
_space_group_name_Hall '-P 4 2'
loop_
_atom_site_label
_atom_site_fract_x
_atom_site_fract_y
_atom_site_fract_z
_atom_site_occupancy
Rb1 0.000 0.000 0.000 1
Ga1 0.500 0.500 0.500 1
Sb1 0.000 0.500 0.000 1
Te1 0.000 0.000 0.500 1
```

=====

A relaxed RbGaSb2Te crystal, computed with PBE.

Its formation energy from raw total energies is 0.080 eV per atom. The polymorph energy (0 for the lowest one) is 0.000 eV/atom.

Geometry as CIF:
```
data_RbGaSb2Te
_cell_length_a 5.434
_cell_length_b 5.434
_cell_length_c 5.851
_cell_angle_alpha 90.00
_cell_angle_beta 90.00
_cell_angle_gamma 90.00
_space_group_name_H-M_alt 'P 4/m m m'
_space_group_IT_number 123
_space_group_name_Hall '-P 4 2'
loop_
_atom_site_label
_atom_site_fract_x
_atom_site_fract_y
_atom_site_fract_z
_atom_site_occupancy
Rb1 0.000 0.000 0.000 1
Ga1 0.500 0.500 0.500 1
Sb1 0.000 0.500 0.500 1
Te1 0.500 0.500 0.000 1
```

=====

A relaxed RbGaSbTe2 crystal, computed with PBE.

Its formation energy from raw total energies is 0.960 eV per atom. The polymorph energy (0 for the lowest one) is 1.024 eV/atom.

Geometry as CIF:
```
data_RbGaSbTe2
_cell_length_a 6.345
_cell_length_b 6.345
_cell_length_c 6.110
_cell_angle_alpha 90.00
_cell_angle_beta 90.00
_cell_angle_gamma 90.00
_space_group_name_H-M_alt 'P 4/m m m'
_space_group_IT_number 123
_space_group_name_Hall '-P 4 2'
loop_
_atom_site_label
_atom_site_fract_x
_atom_site_fract_y
_atom_site_fract_z
_atom_site_occupancy
Rb1 0.000 0.000 0.000 1
Ga1 0.500 0.500 0.500 1
Sb1 0.000 0.000 0.500 1
Te1 0.000 0.500 0.000 1
```

=====

A relaxed RbGaSbTe3 crystal, computed with PBE.

Its formation energy from raw total energies is -0.417 eV per atom.

Geometry as CIF:
```
data_RbGaSbTe3
_cell_length_a 9.805
_cell_length_b 4.710
_cell_length_c 10.713
_cell_angle_alpha 90.00
_cell_angle_beta 105.73
_cell_angle_gamma 90.00
_space_group_name_H-M_alt 'P 1 21/m 1'
_space_group_IT_number 11
loop_
_space_group_symop_operation_xyz
'x,y,z'
'-x,-y,-z'
'-x,y+1/2,-z'
'x,-y+1/2,z'
loop_
_atom_site_label
_atom_site_fract_x
_atom_site_fract_y
_atom_site_fract_z
_atom_site_occupancy
Rb1 0.200 0.250 0.240 1
Ga1 0.085 0.250 0.610 1
Sb1 0.337 0.750 0.870 1
Te1 0.122 0.250 0.869 1
Te2 0.199 0.750 0.543 1
Te3 0.464 0.750 0.156 1
```

=====

A relaxed RbGaSbTe2 crystal, computed with PBE.

Its formation energy from raw total energies is -0.065 eV per atom. The polymorph energy (0 for the lowest one) is 0.000 eV/atom.

Geometry as CIF:
```
data_RbGaSbTe2
_cell_length_a 5.755
_cell_length_b 5.755
_cell_length_c 5.302
_cell_angle_alpha 90.00
_cell_angle_beta 90.00
_cell_angle_gamma 90.00
_space_group_name_H-M_alt 'P 4/m m m'
_space_group_IT_number 123
_space_group_name_Hall '-P 4 2'
loop_
_atom_site_label
_atom_site_fract_x
_atom_site_fract_y
_atom_site_fract_z
_atom_site_occupancy
Rb1 0.000 0.000 0.000 1
Ga1 0.500 0.500 0.500 1
Sb1 0.500 0.500 0.000 1
Te1 0.000 0.500 0.500 1
```

=====

A relaxed RbTiGa2Sb crystal, computed with PBE.

Its formation energy from raw total energies is 1.640 eV per atom.

Geometry as CIF:
```
data_RbTiGa2Sb
_cell_length_a 5.528
_cell_length_b 5.528
_cell_length_c 5.192
_cell_angle_alpha 90.00
_cell_angle_beta 90.00
_cell_angle_gamma 90.00
_space_group_name_H-M_alt 'P 4/m m m'
_space_group_IT_number 123
_space_group_name_Hall '-P 4 2'
loop_
_atom_site_label
_atom_site_fract_x
_atom_site_fract_y
_atom_site_fract_z
_atom_site_occupancy
Rb1 0.000 0.000 0.000 1
Ti1 0.000 0.000 0.500 1
Ga1 0.000 0.500 0.000 1
Sb1 0.500 0.500 0.500 1
```

=====

A relaxed RbTlGaSb crystal, computed with PBE.

Its formation energy from raw total energies is -0.187 eV per atom.

Geometry as CIF:
```
data_RbTlGaSb
_cell_length_a 4.688
_cell_length_b 4.688
_cell_length_c 13.840
_cell_angle_alpha 90.00
_cell_angle_beta 90.00
_cell_angle_gamma 90.00
_space_group_name_H-M_alt 'P 4/n m m'
_space_group_IT_number 129
loop_
_space_group_symop_operation_xyz
'x,y,z'
'-x,-y,-z'
'-y+1/2,x,z'
'y+1/2,-x,-z'
'-x+1/2,-y+1/2,z'
'x+1/2,y+1/2,-z'
'y,-x+1/2,z'
'-y,x+1/2,-z'
'x+1/2,-y,-z'
'-x+1/2,y,z'
'-y,-x,-z'
'y,x,z'
'-x,y+1/2,-z'
'x,-y+1/2,z'
'y+1/2,x+1/2,-z'
'-y+1/2,-x+1/2,z'
loop_
_atom_site_label
_atom_site_fract_x
_atom_site_fract_y
_atom_site_fract_z
_atom_site_occupancy
Rb1 0.250 0.250 0.249 1
Tl1 0.250 0.750 0.000 1
Ga1 0.250 0.750 0.500 1
Sb1 0.250 0.250 0.612 1
```

=====

A relaxed Rb2VGaSb crystal, computed with PBE.

Its formation energy from raw total energies is 0.547 eV per atom.

Geometry as CIF:
```
data_Rb2VGaSb
_cell_length_a 6.995
_cell_length_b 6.995
_cell_length_c 5.198
_cell_angle_alpha 90.00
_cell_angle_beta 90.00
_cell_angle_gamma 90.00
_space_group_name_H-M_alt 'P 4/m m m'
_space_group_IT_number 123
_space_group_name_Hall '-P 4 2'
loop_
_atom_site_label
_atom_site_fract_x
_atom_site_fract_y
_atom_site_fract_z
_atom_site_occupancy
Rb1 0.000 0.500 0.000 1
V1 0.000 0.000 0.500 1
Ga1 0.500 0.500 0.500 1
Sb1 0.000 0.000 0.000 1
```

=====

A relaxed Rb2ZnGaSb2 crystal, computed with PBE.

Its formation energy from raw total energies is -0.346 eV per atom.

Geometry as CIF:
```
data_Rb2ZnGaSb2
_cell_length_a 6.991
_cell_length_b 16.412
_cell_length_c 7.002
_cell_angle_alpha 90.00
_cell_angle_beta 90.00
_cell_angle_gamma 90.00
_space_group_name_H-M_alt 'I b a m'
_space_group_IT_number 72
_space_group_name_Hall '-I 2 2c'
loop_
_atom_site_label
_atom_site_fract_x
_atom_site_fract_y
_atom_site_fract_z
_atom_site_occupancy
Rb1 0.249 0.166 0.000 1
Zn1 0.000 0.500 0.250 1
Ga1 0.000 0.000 0.250 1
Sb1 0.245 0.411 0.000 1
```

=====

A relaxed Rb3ScGa crystal, computed with PBE.

The calculation puts the formation energy at 1.007 eV/atom.

Geometry as CIF:
```
data_Rb3ScGa
_cell_length_a 7.180
_cell_length_b 7.180
_cell_length_c 7.180
_cell_angle_alpha 90.00
_cell_angle_beta 90.00
_cell_angle_gamma 90.00
_space_group_name_H-M_alt 'P m -3 m'
_space_group_IT_number 221
_space_group_name_Hall '-P 4 2 3'
loop_
_atom_site_label
_atom_site_fract_x
_atom_site_fract_y
_atom_site_fract_z
_atom_site_occupancy
Rb1 0.000 0.000 0.500 1
Sc1 0.000 0.000 0.000 1
Ga1 0.500 0.500 0.500 1
```

=====

A relaxed RbSc2Ga crystal, computed with PBE.

The calculation puts the formation energy at 0.588 eV/atom.

Geometry as CIF:
```
data_RbSc2Ga
_cell_length_a 3.3674
_cell_length_b 3.3674
_cell_length_c 37.5206
_cell_angle_alpha 90.00
_cell_angle_beta 90.00
_cell_angle_gamma 120.00
_space_group_name_H-M_alt 'R -3 m'
_space_group_IT_number 166
_space_group_name_Hall '-R 3 2"'
loop_
_atom_site_label
_atom_site_fract_x
_atom_site_fract_y
_atom_site_fract_z
_atom_site_occupancy
Rb1 0.0000 0.0000 0.0000 1
Sc1 0.0000 0.0000 0.4255 1
Ga1 0.0000 0.0000 0.5000 1
```

=====

A relaxed Rb2ScGa crystal, computed with PBE.

The calculation puts the formation energy at 0.451 eV/atom.

Geometry as CIF:
```
data_Rb2ScGa
_cell_length_a 13.482
_cell_length_b 13.482
_cell_length_c 5.290
_cell_angle_alpha 90.00
_cell_angle_beta 90.00
_cell_angle_gamma 90.00
_space_group_name_H-M_alt 'I -4 2 d'
_space_group_IT_number 122
_space_group_name_Hall 'I -4 2bw'
loop_
_atom_site_label
_atom_site_fract_x
_atom_site_fract_y
_atom_site_fract_z
_atom_site_occupancy
Rb1 0.086 0.250 0.125 1
Sc1 0.000 0.000 0.500 1
Ga1 0.000 0.000 0.000 1
```

=====

A relaxed RbSc2Ga crystal, computed with PBE.

The calculation puts the formation energy at 0.609 eV/atom.

Geometry as CIF:
```
data_RbSc2Ga
_cell_length_a 6.167
_cell_length_b 6.167
_cell_length_c 17.791
_cell_angle_alpha 90.00
_cell_angle_beta 90.00
_cell_angle_gamma 90.00
_space_group_name_H-M_alt 'I 41/a m d'
_space_group_IT_number 141
loop_
_space_group_symop_operation_xyz
'x,y,z'
'-x,-y,-z'
'-y+1/4,x+3/4,z+1/4'
'y+1/4,-x+3/4,-z+1/4'
'-x+1/2,-y,z+1/2'
'x+1/2,y,-z+1/2'
'y+1/4,-x+1/4,z+3/4'
'-y+1/4,x+1/4,-z+3/4'
'x,-y,-z'
'-x,y,z'
'-y+1/4,-x+1/4,-z+3/4'
'y+1/4,x+1/4,z+3/4'
'-x+1/2,y,-z+1/2'
'x+1/2,-y,z+1/2'
'y+1/4,x+3/4,-z+1/4'
'-y+1/4,-x+3/4,z+1/4'
'x+1/2,y+1/2,z+1/2'
'-x+1/2,-y+1/2,-z+1/2'
'-y+3/4,x+1/4,z+3/4'
'y+3/4,-x+1/4,-z+3/4'
'-x,-y+1/2,z'
'x,y+1/2,-z'
'y+3/4,-x+3/4,z+1/4'
'-y+3/4,x+3/4,-z+1/4'
'x+1/2,-y+1/2,-z+1/2'
'-x+1/2,y+1/2,z+1/2'
'-y+3/4,-x+3/4,-z+1/4'
'y+3/4,x+3/4,z+1/4'
'-x,y+1/2,-z'
'x,-y+1/2,z'
'y+3/4,x+1/4,-z+3/4'
'-y+3/4,-x+1/4,z+3/4'
loop_
_atom_site_label
_atom_site_fract_x
_atom_site_fract_y
_atom_site_fract_z
_atom_site_occupancy
Rb1 0.000 0.250 0.375 1
Sc1 0.000 0.000 0.000 1
Ga1 0.000 0.250 0.875 1
```

=====

A relaxed RbScGaSe4 crystal, computed with PBE.

Its formation energy from raw total energies is -1.032 eV per atom.

Geometry as CIF:
```
data_RbScGaSe4
_cell_length_a 6.939
_cell_length_b 6.016
_cell_length_c 9.740
_cell_angle_alpha 90.00
_cell_angle_beta 107.01
_cell_angle_gamma 90.00
_space_group_name_H-M_alt 'P 1 21/m 1'
_space_group_IT_number 11
loop_
_space_group_symop_operation_xyz
'x,y,z'
'-x,-y,-z'
'-x,y+1/2,-z'
'x,-y+1/2,z'
loop_
_atom_site_label
_atom_site_fract_x
_atom_site_fract_y
_atom_site_fract_z
_atom_site_occupancy
Rb1 0.246 0.250 0.049 1
Sc1 0.255 0.250 0.554 1
Ga1 0.257 0.750 0.336 1
Se1 0.022 0.515 0.694 1
Se2 0.446 0.750 0.583 1
Se3 0.460 0.750 0.181 1
```

=====

A relaxed RbScGaSi2 crystal, computed with PBE.

Its formation energy from raw total energies is 0.708 eV per atom.

Geometry as CIF:
```
data_RbScGaSi2
_cell_length_a 5.140
_cell_length_b 5.140
_cell_length_c 5.957
_cell_angle_alpha 90.00
_cell_angle_beta 90.00
_cell_angle_gamma 90.00
_space_group_name_H-M_alt 'P 4/m m m'
_space_group_IT_number 123
_space_group_name_Hall '-P 4 2'
loop_
_atom_site_label
_atom_site_fract_x
_atom_site_fract_y
_atom_site_fract_z
_atom_site_occupancy
Rb1 0.000 0.000 0.000 1
Sc1 0.000 0.000 0.500 1
Ga1 0.500 0.500 0.000 1
Si1 0.000 0.500 0.500 1
```

=====

A relaxed RbSc2TiGa crystal, computed with PBE.

The calculation puts the formation energy at 0.578 eV/atom.

Geometry as CIF:
```
data_RbSc2TiGa
_cell_length_a 5.377
_cell_length_b 5.377
_cell_length_c 5.171
_cell_angle_alpha 90.00
_cell_angle_beta 90.00
_cell_angle_gamma 90.00
_space_group_name_H-M_alt 'P 4/m m m'
_space_group_IT_number 123
_space_group_name_Hall '-P 4 2'
loop_
_atom_site_label
_atom_site_fract_x
_atom_site_fract_y
_atom_site_fract_z
_atom_site_occupancy
Rb1 0.000 0.000 0.000 1
Sc1 0.000 0.500 0.500 1
Ti1 0.500 0.500 0.000 1
Ga1 0.500 0.500 0.500 1
```

=====

| no. | uncorrected energy (eV/atom) |
| --- | --- |
| 1 | -1.949 |
| 2 | -3.686 |
| 3 | -3.574 |
| 4 | -3.305 |
| 5 | -1.931 |
| 6 | -2.996 |
| 7 | -1.921 |
| 8 | -3.341 |
| 9 | -2.945 |
| 10 | -2.168 |
| 11 | -2.808 |
| 12 | -3.094 |
| 13 | -2.759 |
| 14 | -1.445 |
| 15 | -3.576 |
| 16 | -2.373 |
| 17 | -3.556 |
| 18 | -4.498 |
| 19 | -3.527 |
| 20 | -4.333 |